Entry 1:
VASP calculation (PBE-GGA) on a geometry-optimized ZnAgS2O8 structure.

Lattice parameters (Å, degrees): 4.804 4.804 7.983 72.49 72.49 60.00
Fractional coordinates of all 12 atoms:
Zn: 0.000 0.000 0.000
Ag: 0.500 0.500 0.500
S: 0.255 0.255 0.234
S: 0.745 0.745 0.766
O: 0.188 0.188 0.435
O: 0.577 0.262 0.172
O: 0.812 0.812 0.565
O: 0.989 0.577 0.172
O: 0.011 0.423 0.828
O: 0.262 0.989 0.172
O: 0.738 0.011 0.828
O: 0.423 0.738 0.828

Computed properties:
Uncorrected formation energy = -1.065 eV per atom
Symmetry = R-3
Magnetization = 1.07 μB per formula unit
Uncorrected energy = -5.40 eV/atom


Entry 2:
VASP calculation (PBE-GGA) on a geometry-optimized CrFeRu structure.

Lattice parameters (Å, degrees): 3.564 3.692 5.956 90.00 107.41 90.00
Fractional coordinates of all 6 atoms:
Cr: 0.590 0.250 0.180
Cr: 0.410 0.750 0.820
Fe: 0.249 0.250 0.499
Fe: 0.751 0.750 0.501
Ru: 0.912 0.250 0.824
Ru: 0.088 0.750 0.176

Computed properties:
Energy relative to the elements = 27 kJ/mol of formula units
Distance to the lowest polymorph of the same formula = 0 meV per atom
Symmetry = Cmcm
Magnetization = 0.41 μB per formula unit
Uncorrected energy = -9.03 eV/atom


Entry 3:
VASP calculation (PBE-GGA) on a geometry-optimized RbNbAg2F8 structure.

Lattice parameters (Å, degrees): 5.055 5.055 9.746 74.97 74.97 60.00
Fractional coordinates of all 12 atoms:
Rb: 0.000 0.000 0.000
Nb: 0.500 0.500 0.500
Ag: 0.726 0.726 0.821
Ag: 0.274 0.274 0.179
F: 0.648 0.648 0.055
F: 0.352 0.352 0.945
F: 0.536 0.249 0.368
F: 0.751 0.464 0.632
F: 0.153 0.751 0.632
F: 0.249 0.847 0.368
F: 0.847 0.536 0.368
F: 0.464 0.153 0.632

Computed properties:
Uncorrected formation energy = -2.232 eV per atom
Symmetry = R32
Magnetization = 0.00 μB per formula unit
Uncorrected energy = -4.87 eV/atom